Entry 1:
AcLaIn: optimized geometry, PBE.

The space-group type is No. 51. The calculation puts the distance to the lowest polymorph of the same formula at 0.68 eV/f.u. The total moment comes out at 0.000 μB per formula unit. The energy of formation is -1.13 kcal/mol of atoms. Its density of states at the Fermi level is 8.19 states/eV per cell. The value obtained for the volume is 221 Å³ per cell.

```
AcLaIn
1.0
6.7948 0.0000 0.0000
0.0000 3.6273 0.0000
0.0000 0.0000 8.9671
Ac La In
2 2 2
direct
0.0000 0.0000 0.0000
0.5000 0.0000 0.0000
0.2500 0.5000 0.3496
0.7500 0.5000 0.6504
0.2500 0.0000 0.6683
0.7500 0.0000 0.3317
```

---

Entry 2:
CuPdCl2: optimized geometry, PBE.

The space-group type is No. 225. The calculation puts the distance to the lowest polymorph of the same formula at 1.16 eV/f.u. The value obtained for the raw formation energy is 165 meV/atom. The total moment comes out at 1.000 μB per formula unit. Its density of states at the Fermi level is 2.29 states/eV per cell. The value obtained for the volume is 68 Å³ per cell.

```
CuPdCl2
1.0
0.0000 3.2361 3.2361
3.2361 0.0000 3.2361
3.2361 3.2361 0.0000
Cu Pd Cl
1 1 2
direct
0.0000 0.0000 0.0000
0.5000 0.5000 0.5000
0.2500 0.2500 0.2500
0.7500 0.7500 0.7500
```

---

Entry 3:
LaZn5Cu2: optimized geometry, PBE.

The space-group type is No. 71. The total moment comes out at 0.000 μB per formula unit. The energy of formation is -5.05 kcal/mol of atoms. Its density of states at the Fermi level is 3.87 states/eV per cell. The value obtained for the volume is 139 Å³ per cell.

```
LaZn5Cu2
1.0
-2.0075 3.6177 4.7960
2.0075 -3.6177 4.7960
2.0075 3.6177 -4.7960
La Zn Cu
1 5 2
direct
0.0000 0.0000 0.0000
0.1665 0.3521 0.8144
0.4623 0.6479 0.8144
0.5000 0.0000 0.5000
0.5377 0.3521 0.1856
0.8335 0.6479 0.1856
0.2480 0.7480 0.5000
0.7520 0.2520 0.5000
```

---

Entry 4:
Ti2NbAuN: optimized geometry, PBE.

The space-group type is No. 123. The value obtained for the raw formation energy is -847 meV/atom. The total moment comes out at 0.555 μB per formula unit. Its density of states at the Fermi level is 5.41 states/eV per cell. The value obtained for the volume is 74 Å³ per cell.

```
Ti2NbAuN
1.0
4.1531 0.0000 0.0000
0.0000 4.1531 0.0000
0.0000 0.0000 4.2622
Ti Nb Au N
2 1 1 1
direct
0.0000 0.5000 0.0000
0.5000 0.0000 0.0000
0.0000 0.0000 0.5000
0.5000 0.5000 0.5000
0.0000 0.0000 0.0000
```

---

Entry 5:
ErPd2Au6: optimized geometry, PBE.

The space-group type is No. 12. The calculation puts the distance to the lowest polymorph of the same formula at 0.00 eV/f.u. The total moment comes out at 0.000 μB per formula unit. The energy of formation is -9.03 kcal/mol of atoms. Its density of states at the Fermi level is 2.76 states/eV per cell. The value obtained for the volume is 163 Å³ per cell.

```
ErPd2Au6
1.0
6.2902 -2.0482 0.0000
6.2902 2.0482 0.0000
-2.1225 0.0000 6.3173
Er Pd Au
1 2 6
direct
0.0000 0.0000 0.0000
0.4479 0.4479 0.6713
0.5521 0.5521 0.3287
0.1090 0.1090 0.6626
0.2245 0.2245 0.3381
0.3320 0.3320 0.9926
0.6680 0.6680 0.0074
0.7755 0.7755 0.6619
0.8910 0.8910 0.3374
```

---

Entry 6:
Fe2Co17Ir2: optimized geometry, PBE.

The space-group type is No. 12. The total moment comes out at 36.638 μB per formula unit. The energy of formation is 7.27 kcal/mol of atoms. Its density of states at the Fermi level is 21.88 states/eV per cell. The value obtained for the volume is 266 Å³ per cell.

```
Fe2Co17Ir2
1.0
4.4366 -4.0455 0.0000
4.4366 4.0455 0.0000
-2.5838 0.0000 7.4043
Fe Co Ir
2 17 2
direct
0.1993 0.1993 0.2642
0.8007 0.8007 0.7358
0.0000 0.5000 0.0000
0.1294 0.1294 0.8464
0.1653 0.8347 0.0000
0.1894 0.6990 0.3203
0.2125 0.4902 0.7913
0.3010 0.8106 0.6797
0.3985 0.3985 0.1083
0.4902 0.2125 0.7913
0.5000 0.0000 0.0000
0.5000 0.5000 0.5000
0.5098 0.7875 0.2087
0.6015 0.6015 0.8917
0.6990 0.1894 0.3203
0.7875 0.5098 0.2087
0.8106 0.3010 0.6797
0.8347 0.1653 0.0000
0.8706 0.8706 0.1536
0.0000 0.5000 0.5000
0.5000 0.0000 0.5000
```

---

Entry 7:
Si2PIr: optimized geometry, PBE.

The space-group type is No. 44. The calculation puts the distance to the lowest polymorph of the same formula at 1.49 eV/f.u. The value obtained for the raw formation energy is 114 meV/atom. The total moment comes out at 0.000 μB per formula unit. Its density of states at the Fermi level is 1.32 states/eV per cell. The value obtained for the volume is 61 Å³ per cell.

```
Si2PIr
1.0
-1.3878 1.9923 5.4792
1.3878 -1.9923 5.4792
1.3878 1.9923 -5.4792
Si P Ir
2 1 1
direct
0.0000 0.0000 0.0000
0.7451 0.2451 0.5000
0.3422 0.8422 0.5000
0.5569 0.5569 0.0000
```

---

Entry 8:
Al3C: optimized geometry, PBE.

The space-group type is No. 44. The calculation puts the distance to the lowest polymorph of the same formula at 1.19 eV/f.u. The total moment comes out at 0.000 μB per formula unit. The energy of formation is 7.45 kcal/mol of atoms. Its density of states at the Fermi level is 1.41 states/eV per cell. The value obtained for the volume is 55 Å³ per cell.

```
Al3C
1.0
-1.4514 4.0543 2.3395
1.4514 -4.0543 2.3395
1.4514 4.0543 -2.3395
Al C
3 1
direct
0.0000 0.0000 0.0000
0.3213 0.4876 0.8337
0.6539 0.4876 0.1663
0.3110 0.8110 0.5000
```